Entry 1:
Compound: TlGaPtSe
Source: Alexandria via LeMat-Bulk
Functional: PBE
Structure: optimized geometry

Calculated values
As for the density of states at the Fermi level: 0.7 states/eV per cell. The crystal system is monoclinic. As for the formation energy from raw total energies: -0.314 eV/atom. As for the space group: Cm, No. 8.

The structure in CIF format:
```
data_TlGaPtSe
_chemical_formula_sum 'Tl1 Ga1 Pt1 Se1'
_symmetry_space_group_name_H-M 'P 1'
_symmetry_Int_Tables_number 1
_symmetry_space_group_name_Hall 'P 1'
_cell_length_a 6.613
_cell_length_b 6.613
_cell_length_c 4.173
_cell_angle_alpha 98.70
_cell_angle_beta 98.70
_cell_angle_gamma 33.77
loop_
_atom_site_label
_atom_site_type_symbol
_atom_site_fract_x
_atom_site_fract_y
_atom_site_fract_z
Tl1 Tl 0.000 0.000 0.000
Ga1 Ga 0.685 0.685 0.530
Pt1 Pt 0.495 0.495 0.502
Se1 Se 0.291 0.291 0.379
```

=====

Entry 2:
Compound: Er3Co7Ni2
Source: Alexandria via LeMat-Bulk
Functional: PBE
Structure: optimized geometry

Calculated values
The formation energy is -5.76 kcal/mol of atoms. As for the density of states at the Fermi level: 15.0 states/eV per cell. The crystal system is trigonal. As for the space group: R-3m, No. 166.

The structure in CIF format:
```
data_Er3Co7Ni2
_chemical_formula_sum 'Er3 Co7 Ni2'
_symmetry_space_group_name_H-M 'P 1'
_symmetry_Int_Tables_number 1
_symmetry_space_group_name_Hall 'P 1'
_cell_length_a 8.659
_cell_length_b 8.659
_cell_length_c 8.659
_cell_angle_alpha 33.00
_cell_angle_beta 33.00
_cell_angle_gamma 33.00
loop_
_atom_site_label
_atom_site_type_symbol
_atom_site_fract_x
_atom_site_fract_y
_atom_site_fract_z
Er1 Er 0.000 0.000 0.000
Er2 Er 0.139 0.139 0.139
Er3 Er 0.861 0.861 0.861
Co1 Co 0.080 0.582 0.582
Co2 Co 0.418 0.418 0.920
Co3 Co 0.418 0.920 0.418
Co4 Co 0.500 0.500 0.500
Co5 Co 0.582 0.080 0.582
Co6 Co 0.582 0.582 0.080
Co7 Co 0.920 0.418 0.418
Ni1 Ni 0.334 0.334 0.334
Ni2 Ni 0.666 0.666 0.666
```

=====

Number 1: M_tot 0.00 μB/atom. Number 2: M_tot 0.71 μB/atom.